This record from Alexandria describes a geometry-optimized ThCuAu11 structure. The functional is PBE.

```
ThCuAu11
1.0
5.1301 0.0004 2.1373
2.5108 6.6094 1.0460
-0.0560 0.0002 7.3600
Th Cu Au
1 1 11
Direct
0.0000 0.0000 0.0000
0.5000 0.5000 0.0000
0.3014 0.2166 0.2080
0.6986 0.7834 0.7920
0.4906 0.7834 0.2080
0.5094 0.2166 0.7920
0.3484 0.6496 0.6657
0.6516 0.3504 0.3343
0.9859 0.3504 0.6657
0.0141 0.6496 0.3343
0.0000 0.5000 0.0000
0.5000 0.0000 0.5000
0.0000 0.0000 0.5000
```

Electronic total energy   -49.9 eV per cell
Formation enthalpy at 0 K   -2.3 eV/f.u.
V   19.3 Å³/atom